La2PrIr2PdPb3: relaxed, GGA-PBE.

Calculated values
total DFT energy (no corrections)	-6.04	eV/atom

POSCAR file:
```
La2PrIr2PdPb3
1.0
4.145 0.000 0.000
0.000 6.813 3.910
0.000 -6.813 3.910
Ir La Pb Pd Pr
2 2 3 1 1
Cartesian
0.000 2.296 3.897
0.000 -2.296 3.897
2.073 2.833 1.631
2.073 -2.833 1.631
0.000 0.000 2.031
0.000 1.742 6.805
0.000 -1.742 6.805
2.073 0.000 7.812
2.073 0.000 4.588
```

---

LaPr2IrPd2Pb3: relaxed, GGA-PBE.

Calculated values
total DFT energy (no corrections)	-5.65	eV/atom

POSCAR file:
```
LaPr2IrPd2Pb3
1.0
-3.944 -1.119 0.107
1.663 -5.325 5.596
-2.034 7.361 2.027
Ir La Pb Pd Pr
1 1 3 2 2
Cartesian
0.000 0.002 0.006
-0.150 0.822 3.076
-0.833 -3.990 6.157
-2.248 0.959 5.737
-3.576 5.425 3.509
-1.543 -1.651 4.453
-2.771 2.566 3.267
0.993 -3.181 3.343
-1.215 4.398 1.211
```

---

La3Sn2IrPd2Pb: relaxed, GGA-PBE.

Calculated values
total DFT energy (no corrections)	-5.93	eV/atom

POSCAR file:
```
La3Sn2IrPd2Pb
1.0
-0.164 -2.501 -3.399
2.895 -5.817 4.141
-7.634 0.980 -0.352
Ir La Pb Pd Sn
1 3 1 2 2
Cartesian
-4.672 -4.769 3.735
-0.236 -5.407 3.990
-2.808 -2.866 2.245
-6.436 -1.404 1.344
-1.265 -2.458 -0.754
-0.688 -4.853 0.980
-4.270 -2.541 -0.548
-2.934 -6.330 2.175
-5.536 -4.650 1.065
```

---

LaIrPd: relaxed, GGA-PBE.

Calculated values
calculated formation energy	-0.293	eV/atom
ΔE to the lowest computed polymorph	0.0	meV/atom

POSCAR file:
```
LaIrPd
1.0
0.000 3.277 3.277
3.277 0.000 3.277
3.277 3.277 0.000
Ir La Pd
1 1 1
Cartesian
0.000 0.000 0.000
1.638 1.638 1.638
4.915 4.915 4.915
```

---

LaIrPd: relaxed, GGA-PBE.

Calculated values
calculated formation energy	0.061	eV/atom
ΔE to the lowest computed polymorph	353.5	meV/atom

POSCAR file:
```
LaIrPd
1.0
-2.149 2.854 2.970
-1.939 3.929 -1.545
-4.626 0.418 -0.115
Ir La Pd
1 1 1
Cartesian
-2.179 1.800 0.327
0.000 0.000 0.000
-6.536 5.401 0.982
```

---

La2IrPd: relaxed, GGA-PBE.

Calculated values
calculated formation energy	-0.798	eV/atom
ΔE to the lowest computed polymorph	20.1	meV/atom

POSCAR file:
```
La2IrPd
1.0
4.542 0.000 0.000
0.000 1.981 5.509
0.000 -1.981 5.509
Ir La Pd
1 2 1
Cartesian
0.000 0.000 4.508
0.000 0.000 1.516
2.271 0.000 9.537
2.271 0.000 6.474
```

---

La2IrPd: relaxed, GGA-PBE.

Calculated values
calculated formation energy	-0.819	eV/atom
ΔE to the lowest computed polymorph	0.0	meV/atom

POSCAR file:
```
La2IrPd
1.0
-1.935 5.554 1.327
-2.958 -0.263 -3.211
-4.115 -5.442 4.236
Ir La Pd
2 4 2
Cartesian
-3.691 0.445 -1.104
-5.316 -0.596 3.456
-3.968 3.793 -1.124
-2.928 -1.079 1.296
-6.079 0.929 1.056
-5.040 -3.944 3.476
-3.267 2.100 1.348
-5.740 -2.251 1.004
```

---

La2PrSi4Ir2Pd2: relaxed, GGA-PBE.

Calculated values
total DFT energy (no corrections)	-6.87	eV/atom

POSCAR file:
```
La2PrSi4Ir2Pd2
1.0
7.504 -4.944 9.309
2.089 -5.247 11.641
-5.113 2.402 -11.640
Ir La Pd Pr Si
2 2 2 1 4
Cartesian
2.394 -2.543 5.229
7.199 -7.647 15.722
2.603 -2.767 1.909
1.876 -5.022 7.401
5.038 -5.353 7.227
-0.559 -2.435 2.083
0.000 0.000 0.000
4.345 -4.615 9.489
5.248 -5.575 11.462
4.078 -4.333 5.130
0.401 -3.455 4.179
```

---

La2PrSn4Ir2Pd2: relaxed, GGA-PBE.

Calculated values
total DFT energy (no corrections)	-6.07	eV/atom

POSCAR file:
```
La2PrSn4Ir2Pd2
1.0
-2.120 2.311 13.548
2.120 -2.311 13.548
2.120 2.311 -13.548
Ir La Pd Pr Sn
2 2 2 1 4
Cartesian
0.000 0.000 6.858
0.000 0.000 20.239
0.000 2.311 4.132
2.120 0.000 9.416
0.000 2.311 10.883
2.120 0.000 2.665
0.000 0.000 0.000
0.000 0.000 12.136
0.000 0.000 14.961
0.000 2.311 8.249
2.120 0.000 5.299
```

---

La2PrSn3IrPd2: relaxed, GGA-PBE.

Calculated values
total DFT energy (no corrections)	-6.00	eV/atom

POSCAR file:
```
La2PrSn3IrPd2
1.0
4.193 0.000 0.000
0.000 6.647 3.830
0.000 -6.647 3.830
Ir La Pd Pr Sn
1 2 2 1 3
Cartesian
0.000 0.000 0.003
0.000 2.735 6.084
0.000 -2.735 6.084
2.096 2.216 3.833
2.096 -2.216 3.833
0.000 0.000 3.139
2.096 1.627 0.951
2.096 -1.627 0.951
2.096 0.000 5.766
```

---

LaPr2Sn3IrPd2: relaxed, GGA-PBE.

Calculated values
total DFT energy (no corrections)	-5.97	eV/atom

POSCAR file:
```
LaPr2Sn3IrPd2
1.0
4.178 0.000 0.000
0.000 6.630 3.830
0.000 -6.630 3.830
Ir La Pd Pr Sn
1 1 2 2 3
Cartesian
0.000 0.000 0.003
0.000 0.000 3.144
2.089 2.206 3.825
2.089 -2.206 3.825
0.000 3.917 2.263
0.000 -3.917 2.263
2.089 4.984 4.769
2.089 0.000 5.777
2.089 -4.984 4.769
```

---

La2Si4IrPd: relaxed, GGA-PBE.

Calculated values
total DFT energy (no corrections)	-6.61	eV/atom

POSCAR file:
```
La2Si4IrPd
1.0
4.263 0.000 0.000
0.000 2.166 8.485
0.000 -2.166 8.485
Ir La Pd Si
1 2 1 4
Cartesian
2.131 0.000 11.543
0.000 0.000 1.775
2.131 0.000 15.167
0.000 0.000 5.452
2.131 0.000 4.207
0.000 0.000 7.891
2.131 0.000 9.152
0.000 0.000 12.691
```

---

no.,size of the total moment (μB per formula unit)
1,0.0
2,0.0
3,0.0
4,0.0
5,0.0
6,0.0
7,0.0
8,0.0
9,0.0
10,0.0
11,0.0
12,0.0